A relaxed CuOsBr2 crystal. Source: Alexandria, functional PBE.

Cell: 7.903 7.903 7.903 Å, 157.33 148.66 39.03°
Positions (direct):
1 Cu 0.000 0.000 0.000
2 Os 0.500 0.500 0.000
3 Br 0.365 0.865 0.500
4 Br 0.635 0.135 0.500

Values from the calculation:
- Raw formation energy: 0.50 eV per atom
- ΔE to the lowest computed polymorph: 0.33 eV per formula unit
- Total magnetization: 0.00 μB/atom
- Volume: 99 Å³/cell
- DOS(E_F): 0.7579 states/eV/atom

A relaxed Ge2BPb crystal. Source: Alexandria, functional PBE.

Cell: 6.675 6.675 6.675 Å, 129.64 129.64 73.99°
Positions (direct):
1 Ge 0.023 0.625 0.898
2 Ge 0.375 0.273 0.398
3 Ge 0.727 0.125 0.102
4 Ge 0.875 0.977 0.602
5 B 0.000 0.000 0.000
6 B 0.750 0.250 0.500
7 Pb 0.250 0.750 0.500
8 Pb 0.500 0.500 0.000

Values from the calculation:
- ΔE to the lowest computed polymorph: 0.00 eV per formula unit
- Total magnetization: 0.00 μB/atom
- Volume: 172 Å³/cell
- DOS(E_F): 0.3129 states/eV/atom

A relaxed Ba8NaPd2 crystal. Source: Alexandria, functional PBE.

Cell: 10.058 10.058 7.684 Å, 98.55 98.55 47.63°
Positions (direct):
1 Ba 0.076 0.076 0.326
2 Ba 0.112 0.608 0.117
3 Ba 0.297 0.297 0.596
4 Ba 0.392 0.888 0.883
5 Ba 0.608 0.112 0.117
6 Ba 0.703 0.703 0.404
7 Ba 0.888 0.392 0.883
8 Ba 0.924 0.924 0.674
9 Na 0.500 0.500 0.500
10 Pd 0.227 0.227 0.183
11 Pd 0.773 0.773 0.817

Values from the calculation:
- Total magnetization: 0.00 μB/atom
- DFT total energy: -2.652 eV per atom
- Volume: 567 Å³/cell
- DOS(E_F): 0.9740 states/eV/atom

A relaxed NiP3 crystal. Source: Alexandria, functional PBE.

Cell: 5.401 9.651 5.397 Å, 90.00 90.00 90.00°
Positions (direct):
1 Ni 0.076 0.250 0.018
2 Ni 0.424 0.750 0.518
3 Ni 0.576 0.250 0.482
4 Ni 0.924 0.750 0.982
5 P 0.036 0.750 0.374
6 P 0.217 0.132 0.365
7 P 0.217 0.368 0.365
8 P 0.283 0.632 0.865
9 P 0.283 0.868 0.865
10 P 0.464 0.250 0.874
11 P 0.536 0.750 0.126
12 P 0.717 0.132 0.135
13 P 0.717 0.368 0.135
14 P 0.783 0.632 0.635
15 P 0.783 0.868 0.635
16 P 0.964 0.250 0.626

Values from the calculation:
- ΔE to the lowest computed polymorph: 0.97 eV per formula unit
- Total magnetization: 0.00 μB/atom
- Volume: 281 Å³/cell
- DOS(E_F): 0.4366 states/eV/atom

A relaxed SrCoI3 crystal. Source: Alexandria, functional PBE.

Cell: 6.364 6.364 6.364 Å, 90.00 90.00 90.00°
Positions (direct):
1 Sr 0.000 0.000 0.000
2 Co 0.500 0.500 0.500
3 I 0.000 0.000 0.500
4 I 0.000 0.500 0.000
5 I 0.500 0.000 0.000

Values from the calculation:
- Raw formation energy: -0.02 eV per atom
- ΔE to the lowest computed polymorph: 2.74 eV per formula unit
- Total magnetization: 0.58 μB/atom
- Volume: 258 Å³/cell
- DOS(E_F): 0.7125 states/eV/atom

A relaxed Co2TcSe crystal. Source: Alexandria, functional PBE.

Cell: 7.952 7.952 7.952 Å, 20.60 20.60 20.60°
Positions (direct):
1 Co 0.000 0.000 0.000
2 Co 0.255 0.255 0.255
3 Tc 0.753 0.753 0.753
4 Se 0.505 0.505 0.505

Values from the calculation:
- Raw formation energy: 0.35 eV per atom
- Total magnetization: 0.75 μB/atom
- Volume: 54 Å³/cell
- DOS(E_F): 0.9938 states/eV/atom